[1]
# ScCrRhS2 GGA-PBE optimized geometry
# total magnetic moment	0.0	μB per formula unit
data_ScCrRhS2
_space_group_name_H-M_alt 'P 4/m m m'
_space_group_IT_number 123
_space_group_name_Hall '-P 4 2'
_cell_length_a 4.301
_cell_length_b 4.301
_cell_length_c 4.873
_cell_angle_alpha 90.00
_cell_angle_beta 90.00
_cell_angle_gamma 90.00
loop_
_atom_site_label
_atom_site_type_symbol
_atom_site_fract_x
_atom_site_fract_y
_atom_site_fract_z
Sc1 Sc 0.000 0.000 0.000
Cr1 Cr 0.000 0.000 0.500
Rh1 Rh 0.500 0.500 0.000
S1 S 0.000 0.500 0.500



[2]
# CrSnRhS3 GGA-PBE optimized geometry
# total magnetic moment	1.4	μB per formula unit
data_CrSnRhS3
_space_group_name_H-M_alt 'P 1 21/m 1'
_space_group_IT_number 11
_cell_length_a 7.801
_cell_length_b 3.470
_cell_length_c 8.419
_cell_angle_alpha 90.00
_cell_angle_beta 106.42
_cell_angle_gamma 90.00
loop_
_space_group_symop_operation_xyz
'x,y,z'
'-x,-y,-z'
'-x,y+1/2,-z'
'x,-y+1/2,z'
loop_
_atom_site_label
_atom_site_type_symbol
_atom_site_fract_x
_atom_site_fract_y
_atom_site_fract_z
Cr1 Cr 0.193 0.250 0.147
Sn1 Sn 0.277 0.750 0.703
Rh1 Rh 0.463 0.750 0.354
S1 S 0.023 0.250 0.857
S2 S 0.250 0.250 0.430
S3 S 0.356 0.750 0.072



[3]
# Tl2CrRhS GGA-PBE optimized geometry
# total magnetic moment	4.6	μB per formula unit
data_Tl2CrRhS
_space_group_name_H-M_alt 'P 4/m m m'
_space_group_IT_number 123
_space_group_name_Hall '-P 4 2'
_cell_length_a 5.508
_cell_length_b 5.508
_cell_length_c 4.299
_cell_angle_alpha 90.00
_cell_angle_beta 90.00
_cell_angle_gamma 90.00
loop_
_atom_site_label
_atom_site_type_symbol
_atom_site_fract_x
_atom_site_fract_y
_atom_site_fract_z
Tl1 Tl 0.000 0.500 0.000
Cr1 Cr 0.000 0.000 0.500
Rh1 Rh 0.500 0.500 0.500
S1 S 0.000 0.000 0.000



[4]
# CrSb2Rh GGA-PBE optimized geometry
# total magnetic moment	3.5	μB per formula unit
data_CrSb2Rh
_space_group_name_H-M_alt 'P 4 m m'
_space_group_IT_number 99
_cell_length_a 3.296
_cell_length_b 3.296
_cell_length_c 7.762
_cell_angle_alpha 90.00
_cell_angle_beta 90.00
_cell_angle_gamma 90.00
loop_
_space_group_symop_operation_xyz
'x,y,z'
'-y,x,z'
'-x,-y,z'
'y,-x,z'
'-x,y,z'
'y,x,z'
'x,-y,z'
'-y,-x,z'
loop_
_atom_site_label
_atom_site_type_symbol
_atom_site_fract_x
_atom_site_fract_y
_atom_site_fract_z
Cr1 Cr 0.000 0.000 0.000
Sb1 Sb 0.000 0.000 0.386
Sb2 Sb 0.500 0.500 0.799
Rh1 Rh 0.500 0.500 0.194



[5]
# CrSbRh3 GGA-PBE optimized geometry
# total magnetic moment	0.0	μB per formula unit
data_CrSbRh3
_space_group_name_H-M_alt 'P m -3 m'
_space_group_IT_number 221
_space_group_name_Hall '-P 4 2 3'
_cell_length_a 4.505
_cell_length_b 4.505
_cell_length_c 4.505
_cell_angle_alpha 90.00
_cell_angle_beta 90.00
_cell_angle_gamma 90.00
loop_
_atom_site_label
_atom_site_type_symbol
_atom_site_fract_x
_atom_site_fract_y
_atom_site_fract_z
Cr1 Cr 0.000 0.000 0.000
Sb1 Sb 0.500 0.500 0.500
Rh1 Rh 0.000 0.000 0.500



[6]
# CrSbRh2 GGA-PBE optimized geometry
# total magnetic moment	3.1	μB per formula unit
data_CrSbRh2
_space_group_name_H-M_alt 'I 4/m m m'
_space_group_IT_number 139
_space_group_name_Hall '-I 4 2'
_cell_length_a 4.098
_cell_length_b 4.098
_cell_length_c 7.362
_cell_angle_alpha 90.00
_cell_angle_beta 90.00
_cell_angle_gamma 90.00
loop_
_atom_site_label
_atom_site_type_symbol
_atom_site_fract_x
_atom_site_fract_y
_atom_site_fract_z
Cr1 Cr 0.000 0.000 0.000
Sb1 Sb 0.000 0.000 0.500
Rh1 Rh 0.000 0.500 0.250



[7]
# CrSb4Rh GGA-PBE optimized geometry
# total magnetic moment	3.5	μB per formula unit
data_CrSb4Rh
_space_group_name_H-M_alt 'F -4 3 m'
_space_group_IT_number 216
_space_group_name_Hall 'F -4 2 3'
_cell_length_a 8.538
_cell_length_b 8.538
_cell_length_c 8.538
_cell_angle_alpha 90.00
_cell_angle_beta 90.00
_cell_angle_gamma 90.00
loop_
_atom_site_label
_atom_site_type_symbol
_atom_site_fract_x
_atom_site_fract_y
_atom_site_fract_z
Cr1 Cr 0.000 0.000 0.000
Sb1 Sb 0.125 0.125 0.375
Rh1 Rh 0.250 0.250 0.750



[8]
# CrSb2Rh GGA-PBE optimized geometry
# total magnetic moment	3.0	μB per formula unit
data_CrSb2Rh
_space_group_name_H-M_alt 'C m m m'
_space_group_IT_number 65
_space_group_name_Hall '-C 2 2'
_cell_length_a 6.676
_cell_length_b 6.708
_cell_length_c 3.290
_cell_angle_alpha 90.00
_cell_angle_beta 90.00
_cell_angle_gamma 90.00
loop_
_atom_site_label
_atom_site_type_symbol
_atom_site_fract_x
_atom_site_fract_y
_atom_site_fract_z
Cr1 Cr 0.000 0.000 0.000
Sb1 Sb 0.250 0.250 0.500
Rh1 Rh 0.000 0.500 0.000



[9]
# CrSbRh2 GGA-PBE optimized geometry
# total magnetic moment	3.0	μB per formula unit
data_CrSbRh2
_space_group_name_H-M_alt 'P m m 2'
_space_group_IT_number 25
_cell_length_a 3.125
_cell_length_b 3.790
_cell_length_c 5.461
_cell_angle_alpha 90.00
_cell_angle_beta 90.00
_cell_angle_gamma 90.00
loop_
_space_group_symop_operation_xyz
'x,y,z'
'-x,-y,z'
'-x,y,z'
'x,-y,z'
loop_
_atom_site_label
_atom_site_type_symbol
_atom_site_fract_x
_atom_site_fract_y
_atom_site_fract_z
Cr1 Cr 0.000 0.000 0.000
Sb1 Sb 0.500 0.500 0.682
Rh1 Rh 0.000 0.000 0.478
Rh2 Rh 0.500 0.500 0.168



[10]
# CrSb2Rh GGA-PBE optimized geometry
# total magnetic moment	3.8	μB per formula unit
data_CrSb2Rh
_space_group_name_H-M_alt 'I -4 2 d'
_space_group_IT_number 122
_space_group_name_Hall 'I -4 2bw'
_cell_length_a 7.499
_cell_length_b 7.499
_cell_length_c 6.016
_cell_angle_alpha 90.00
_cell_angle_beta 90.00
_cell_angle_gamma 90.00
loop_
_atom_site_label
_atom_site_type_symbol
_atom_site_fract_x
_atom_site_fract_y
_atom_site_fract_z
Cr1 Cr 0.000 0.000 0.000
Sb1 Sb 0.226 0.250 0.625
Rh1 Rh 0.000 0.000 0.500



[11]
# CrSbRh2 GGA-PBE optimized geometry
# total magnetic moment	2.5	μB per formula unit
data_CrSbRh2
_space_group_name_H-M_alt 'I -4 2 d'
_space_group_IT_number 122
_space_group_name_Hall 'I -4 2bw'
_cell_length_a 4.002
_cell_length_b 4.002
_cell_length_c 17.396
_cell_angle_alpha 90.00
_cell_angle_beta 90.00
_cell_angle_gamma 90.00
loop_
_atom_site_label
_atom_site_type_symbol
_atom_site_fract_x
_atom_site_fract_y
_atom_site_fract_z
Cr1 Cr 0.000 0.000 0.000
Sb1 Sb 0.000 0.000 0.500
Rh1 Rh 0.231 0.250 0.125



[12]
# CrSbRh2 GGA-PBE optimized geometry
# total magnetic moment	3.4	μB per formula unit
data_CrSbRh2
_space_group_name_H-M_alt 'P 1 2/m 1'
_space_group_IT_number 10
_cell_length_a 4.475
_cell_length_b 3.127
_cell_length_c 4.840
_cell_angle_alpha 90.00
_cell_angle_beta 109.30
_cell_angle_gamma 90.00
loop_
_space_group_symop_operation_xyz
'x,y,z'
'-x,-y,-z'
'-x,y,-z'
'x,-y,z'
loop_
_atom_site_label
_atom_site_type_symbol
_atom_site_fract_x
_atom_site_fract_y
_atom_site_fract_z
Cr1 Cr 0.000 0.000 0.000
Sb1 Sb 0.000 0.500 0.500
Rh1 Rh 0.500 0.000 0.500
Rh2 Rh 0.500 0.500 0.000



[13]
# CrSb2Rh GGA-PBE optimized geometry
# total magnetic moment	4.1	μB per formula unit
data_CrSb2Rh
_space_group_name_H-M_alt 'F -4 3 m'
_space_group_IT_number 216
_space_group_name_Hall 'F -4 2 3'
_cell_length_a 6.821
_cell_length_b 6.821
_cell_length_c 6.821
_cell_angle_alpha 90.00
_cell_angle_beta 90.00
_cell_angle_gamma 90.00
loop_
_atom_site_label
_atom_site_type_symbol
_atom_site_fract_x
_atom_site_fract_y
_atom_site_fract_z
Cr1 Cr 0.000 0.000 0.000
Sb1 Sb 0.000 0.000 0.500
Sb2 Sb 0.250 0.250 0.750
Rh1 Rh 0.250 0.250 0.250



[14]
# CrSb2Rh GGA-PBE optimized geometry
# total magnetic moment	2.8	μB per formula unit
data_CrSb2Rh
_space_group_name_H-M_alt 'R -3 m'
_space_group_IT_number 166
_space_group_name_Hall '-R 3 2"'
_cell_length_a 3.2677
_cell_length_b 3.2677
_cell_length_c 24.4679
_cell_angle_alpha 90.00
_cell_angle_beta 90.00
_cell_angle_gamma 120.00
loop_
_atom_site_label
_atom_site_type_symbol
_atom_site_fract_x
_atom_site_fract_y
_atom_site_fract_z
Cr1 Cr 0.0000 0.0000 0.0000
Sb1 Sb 0.0000 0.0000 0.2487
Rh1 Rh 0.0000 0.0000 0.5000



[15]
# CrSb2Rh GGA-PBE optimized geometry
# total magnetic moment	3.8	μB per formula unit
data_CrSb2Rh
_space_group_name_H-M_alt 'P m m m'
_space_group_IT_number 47
_cell_length_a 3.264
_cell_length_b 3.280
_cell_length_c 7.079
_cell_angle_alpha 90.00
_cell_angle_beta 90.00
_cell_angle_gamma 90.00
loop_
_space_group_symop_operation_xyz
'x,y,z'
'-x,-y,-z'
'-x,-y,z'
'x,y,-z'
'x,-y,-z'
'-x,y,z'
'-x,y,-z'
'x,-y,z'
loop_
_atom_site_label
_atom_site_type_symbol
_atom_site_fract_x
_atom_site_fract_y
_atom_site_fract_z
Cr1 Cr 0.000 0.000 0.000
Sb1 Sb 0.500 0.500 0.259
Rh1 Rh 0.000 0.000 0.500



[16]
# CrSbRh2 GGA-PBE optimized geometry
# total magnetic moment	2.9	μB per formula unit
data_CrSbRh2
_space_group_name_H-M_alt 'P 4/m m m'
_space_group_IT_number 123
_space_group_name_Hall '-P 4 2'
_cell_length_a 3.314
_cell_length_b 3.314
_cell_length_c 5.812
_cell_angle_alpha 90.00
_cell_angle_beta 90.00
_cell_angle_gamma 90.00
loop_
_atom_site_label
_atom_site_type_symbol
_atom_site_fract_x
_atom_site_fract_y
_atom_site_fract_z
Cr1 Cr 0.000 0.000 0.000
Sb1 Sb 0.000 0.000 0.500
Rh1 Rh 0.500 0.500 0.234



[17]
# CrSbRh2 GGA-PBE optimized geometry
# total magnetic moment	0.0	μB per formula unit
data_CrSbRh2
_space_group_name_H-M_alt 'F -4 3 m'
_space_group_IT_number 216
_space_group_name_Hall 'F -4 2 3'
_cell_length_a 6.235
_cell_length_b 6.235
_cell_length_c 6.235
_cell_angle_alpha 90.00
_cell_angle_beta 90.00
_cell_angle_gamma 90.00
loop_
_atom_site_label
_atom_site_type_symbol
_atom_site_fract_x
_atom_site_fract_y
_atom_site_fract_z
Cr1 Cr 0.000 0.000 0.000
Sb1 Sb 0.250 0.250 0.250
Rh1 Rh 0.000 0.000 0.500
Rh2 Rh 0.250 0.250 0.750



[18]
# CrSb2Rh GGA-PBE optimized geometry
# total magnetic moment	0.0	μB per formula unit
data_CrSb2Rh
_space_group_name_H-M_alt 'F m -3 m'
_space_group_IT_number 225
_space_group_name_Hall '-F 4 2 3'
_cell_length_a 6.542
_cell_length_b 6.542
_cell_length_c 6.542
_cell_angle_alpha 90.00
_cell_angle_beta 90.00
_cell_angle_gamma 90.00
loop_
_atom_site_label
_atom_site_type_symbol
_atom_site_fract_x
_atom_site_fract_y
_atom_site_fract_z
Cr1 Cr 0.000 0.000 0.000
Sb1 Sb 0.250 0.250 0.250
Rh1 Rh 0.000 0.000 0.500



[19]
# CrSbRh2 GGA-PBE optimized geometry
# total magnetic moment	2.9	μB per formula unit
data_CrSbRh2
_space_group_name_H-M_alt 'R -3 m'
_space_group_IT_number 166
_space_group_name_Hall '-R 3 2"'
_cell_length_a 3.0281
_cell_length_b 3.0281
_cell_length_c 24.7875
_cell_angle_alpha 90.00
_cell_angle_beta 90.00
_cell_angle_gamma 120.00
loop_
_atom_site_label
_atom_site_type_symbol
_atom_site_fract_x
_atom_site_fract_y
_atom_site_fract_z
Cr1 Cr 0.0000 0.0000 0.0000
Sb1 Sb 0.0000 0.0000 0.5000
Rh1 Rh 0.0000 0.0000 0.2534



[20]
# CrSbRh2 GGA-PBE optimized geometry
# total magnetic moment	3.1	μB per formula unit
data_CrSbRh2
_space_group_name_H-M_alt 'C 1 m 1'
_space_group_IT_number 8
_cell_length_a 9.042
_cell_length_b 3.378
_cell_length_c 4.388
_cell_angle_alpha 90.00
_cell_angle_beta 106.71
_cell_angle_gamma 90.00
loop_
_space_group_symop_operation_xyz
'x,y,z'
'x,-y,z'
'x+1/2,y+1/2,z'
'x+1/2,-y+1/2,z'
loop_
_atom_site_label
_atom_site_type_symbol
_atom_site_fract_x
_atom_site_fract_y
_atom_site_fract_z
Cr1 Cr 0.000 0.000 0.000
Sb1 Sb 0.260 0.500 0.351
Rh1 Rh 0.266 0.000 0.871
Rh2 Rh 0.498 0.000 0.507



Number 1: formation energy from raw total energies 0.2703 eV per atom, Fermi-level density of states 1.02 states/eV/atom. Number 2: formation energy from raw total energies -0.3963 eV per atom, Fermi-level density of states 0.42 states/eV/atom. Number 3: formation energy from raw total energies 0.7607 eV per atom, Fermi-level density of states 0.70 states/eV/atom. Number 4: formation energy from raw total energies 0.0026 eV per atom, Fermi-level density of states 0.67 states/eV/atom. Number 5: formation energy from raw total energies 0.6729 eV per atom, Fermi-level density of states 1.04 states/eV/atom. Number 6: formation energy from raw total energies -0.2379 eV per atom, Fermi-level density of states 1.15 states/eV/atom. Number 7: formation energy from raw total energies 0.8620 eV per atom, Fermi-level density of states 0.75 states/eV/atom. Number 8: formation energy from raw total energies 0.0568 eV per atom, Fermi-level density of states 0.77 states/eV/atom. Number 9: formation energy from raw total energies -0.0476 eV per atom, Fermi-level density of states 0.76 states/eV/atom. Number 10: formation energy from raw total energies 0.2438 eV per atom, Fermi-level density of states 0.73 states/eV/atom. Number 11: formation energy from raw total energies 0.2208 eV per atom, Fermi-level density of states 1.04 states/eV/atom. Number 12: formation energy from raw total energies -0.0593 eV per atom, Fermi-level density of states 0.85 states/eV/atom. Number 13: formation energy from raw total energies 0.4025 eV per atom, Fermi-level density of states 1.15 states/eV/atom. Number 14: formation energy from raw total energies 0.1488 eV per atom, Fermi-level density of states 0.86 states/eV/atom. Number 15: formation energy from raw total energies 0.1134 eV per atom, Fermi-level density of states 0.75 states/eV/atom. Number 16: formation energy from raw total energies -0.0607 eV per atom, Fermi-level density of states 0.72 states/eV/atom. Number 17: formation energy from raw total energies 0.0594 eV per atom, Fermi-level density of states 0.76 states/eV/atom. Number 18: formation energy from raw total energies 0.1951 eV per atom, Fermi-level density of states 1.46 states/eV/atom. Number 19: formation energy from raw total energies 0.1516 eV per atom, Fermi-level density of states 1.38 states/eV/atom. Number 20: formation energy from raw total energies -0.1233 eV per atom, Fermi-level density of states 0.82 states/eV/atom.